[1]
The following is a DFT calculation (GGA-PBE) of an optimized crystal structure of Zn6Rh5.

## Properties
Total DFT energy (no corrections) in eV/atom: -4.368
Calculated formation energy in eV/atom: -0.331

a b c (Å): 7.3212 7.3212 7.3212
angles (deg): 146.25 131.81 60.12
Last column: nearest neighbours and their distance in Å.
Positions (direct):
1 Zn 0.0782 0.3398 0.7385  7 Rh 2.56-2.66, 1 Zn 2.85
2 Zn 0.2309 0.0000 0.2309  6 Rh 2.59-2.67, 1 Zn 2.76
3 Zn 0.3987 0.6602 0.7385  7 Rh 2.56-2.66, 1 Zn 2.85
4 Zn 0.6013 0.3398 0.2615  7 Rh 2.56-2.66, 1 Zn 2.85
5 Zn 0.7691 0.0000 0.7691  6 Rh 2.59-2.67, 1 Zn 2.76
6 Zn 0.9218 0.6602 0.2615  7 Rh 2.56-2.66, 1 Zn 2.85
7 Rh 0.1727 0.1727 0.0000  8 Zn 2.56-2.63
8 Rh 0.3379 0.8379 0.5000  8 Zn 2.61-2.66
9 Rh 0.5000 0.5000 0.0000  8 Zn 2.56-2.67
10 Rh 0.6621 0.1621 0.5000  8 Zn 2.61-2.66
11 Rh 0.8273 0.8273 0.0000  8 Zn 2.56-2.63

***

[2]
The following is a DFT calculation (GGA-PBE) of an optimized crystal structure of ZnRh3.

## Properties
Total DFT energy (no corrections) in eV/atom: -5.978
Calculated formation energy in eV/atom: -0.145

a b c (Å): 4.6991 4.6991 4.6602
angles (deg): 99.87 99.87 33.86
Last column: nearest neighbours and their distance in Å.
Positions (direct):
1 Zn 0.0000 0.0000 0.0000  10 Rh 2.70-2.72, 2 Zn 2.74
2 Rh 0.2487 0.2487 0.7478  9 Rh 2.69-2.74, 3 Zn 2.71-2.72
3 Rh 0.5000 0.5000 0.5000  8 Rh 2.70-2.74, 4 Zn 2.70
4 Rh 0.7513 0.7513 0.2522  9 Rh 2.69-2.74, 3 Zn 2.71-2.72

***

[3]
The following is a DFT calculation (GGA-PBE) of an optimized crystal structure of ZnRh2.

## Properties
Total DFT energy (no corrections) in eV/atom: -5.521
Calculated formation energy in eV/atom: -0.196

a b c (Å): 5.0925 5.0925 6.4362
angles (deg): 102.66 102.66 31.40
Last column: nearest neighbours and their distance in Å.
Positions (direct):
1 Zn 0.0000 0.0000 0.0000  8 Rh 2.64-2.69, 4 Zn 2.76-2.86
2 Zn 0.6788 0.6788 0.3460  8 Rh 2.65-2.71, 4 Zn 2.76-2.86
3 Rh 0.2787 0.2787 0.0621  5 Zn 2.65-2.68, 7 Rh 2.71-2.77
4 Rh 0.3420 0.3420 0.6730  8 Rh 2.65-2.76, 4 Zn 2.69-2.71
5 Rh 0.6179 0.6179 0.7290  9 Rh 2.65-2.76, 3 Zn 2.67-2.68
6 Rh 0.9554 0.9554 0.3889  4 Zn 2.64-2.66, 8 Rh 2.72-2.77

***

[4]
The following is a DFT calculation (GGA-PBE) of an optimized crystal structure of Zn11Rh2.

## Properties
Total DFT energy (no corrections) in eV/atom: -2.441
Calculated formation energy in eV/atom: -0.232

a b c (Å): 7.9007 7.9007 7.9007
angles (deg): 109.47 109.47 109.47
Last column: nearest neighbours and their distance in Å.
Positions (direct):
1 Zn 0.0000 0.0000 0.7868  9 Zn 2.66-2.75, 3 Rh 2.69
2 Zn 0.0000 0.2655 0.6496  2 Rh 2.61-2.63, 8 Zn 2.65-2.87
3 Zn 0.0000 0.3560 0.3560  9 Zn 2.63-2.87, 2 Rh 2.79
4 Zn 0.0000 0.6440 0.6440  9 Zn 2.63-2.87, 2 Rh 2.79
5 Zn 0.0000 0.6496 0.2655  2 Rh 2.61-2.63, 8 Zn 2.65-2.87
6 Zn 0.0000 0.7868 0.0000  9 Zn 2.66-2.75, 3 Rh 2.69
7 Zn 0.2132 0.2132 0.2132  9 Zn 2.66-2.75, 3 Rh 2.69
8 Zn 0.2655 0.0000 0.6496  2 Rh 2.61-2.63, 8 Zn 2.65-2.87
9 Zn 0.2655 0.6496 0.0000  2 Rh 2.61-2.63, 8 Zn 2.65-2.87
10 Zn 0.3504 0.3504 0.6159  2 Rh 2.61-2.63, 8 Zn 2.65-2.87
11 Zn 0.3504 0.6159 0.3504  2 Rh 2.61-2.63, 8 Zn 2.65-2.87
12 Zn 0.3560 0.0000 0.3560  9 Zn 2.63-2.87, 2 Rh 2.79
13 Zn 0.3560 0.3560 0.0000  9 Zn 2.63-2.87, 2 Rh 2.79
14 Zn 0.3841 0.7345 0.7345  2 Rh 2.61-2.63, 8 Zn 2.65-2.87
15 Zn 0.6159 0.3504 0.3504  2 Rh 2.61-2.63, 8 Zn 2.65-2.87
16 Zn 0.6440 0.0000 0.6440  9 Zn 2.63-2.87, 2 Rh 2.79
17 Zn 0.6440 0.6440 0.0000  9 Zn 2.63-2.87, 2 Rh 2.79
18 Zn 0.6496 0.0000 0.2655  2 Rh 2.61-2.63, 8 Zn 2.65-2.87
19 Zn 0.6496 0.2655 0.0000  2 Rh 2.61-2.63, 8 Zn 2.65-2.87
20 Zn 0.7345 0.3841 0.7345  2 Rh 2.61-2.63, 8 Zn 2.65-2.87
21 Zn 0.7345 0.7345 0.3841  2 Rh 2.61-2.63, 8 Zn 2.65-2.87
22 Zn 0.7868 0.0000 0.0000  9 Zn 2.66-2.75, 3 Rh 2.69
23 Rh 0.0000 0.0000 0.3453  12 Zn 2.61-2.79
24 Rh 0.0000 0.3453 0.0000  12 Zn 2.61-2.79
25 Rh 0.3453 0.0000 0.0000  12 Zn 2.61-2.79
26 Rh 0.6547 0.6547 0.6547  12 Zn 2.61-2.79

***

[5]
The following is a DFT calculation (GGA-PBE) of an optimized crystal structure of Zn3Rh.

## Properties
Total DFT energy (no corrections) in eV/atom: -3.137
Calculated formation energy in eV/atom: -0.344

a b c (Å): 8.2672 8.2672 8.2672
angles (deg): 153.57 153.57 37.73
Last column: nearest neighbours and their distance in Å.
Positions (direct):
1 Zn 0.0000 0.5000 0.5000  8 Zn 2.67-2.74, 4 Rh 2.68
2 Zn 0.1266 0.1266 0.0000  4 Rh 2.67, 8 Zn 2.70-2.74
3 Zn 0.2500 0.7500 0.5000  8 Zn 2.67-2.70, 4 Rh 2.76
4 Zn 0.5000 0.0000 0.5000  8 Zn 2.67-2.74, 4 Rh 2.68
5 Zn 0.7500 0.2500 0.5000  8 Zn 2.67-2.70, 4 Rh 2.76
6 Zn 0.8734 0.8734 0.0000  4 Rh 2.67, 8 Zn 2.70-2.74
7 Rh 0.3786 0.3786 0.0000  12 Zn 2.67-2.76
8 Rh 0.6214 0.6214 0.0000  12 Zn 2.67-2.76

***

[6]
The following is a DFT calculation (GGA-PBE) of an optimized crystal structure of Zn2Rh.

## Properties
Total DFT energy (no corrections) in eV/atom: -3.515
Calculated formation energy in eV/atom: -0.215

a b c (Å): 10.8688 10.8688 10.8688
angles (deg): 164.46 164.46 22.04
Last column: nearest neighbours and their distance in Å.
Positions (direct):
1 Zn 0.3020 0.5520 0.7500  4 Rh 2.60, 2 Zn 2.66
2 Zn 0.4480 0.6980 0.7500  4 Rh 2.60, 2 Zn 2.66
3 Zn 0.5520 0.3020 0.2500  4 Rh 2.60, 2 Zn 2.66
4 Zn 0.6980 0.4480 0.2500  4 Rh 2.60, 2 Zn 2.66
5 Rh 0.1250 0.8750 0.2500  8 Zn 2.60
6 Rh 0.8750 0.1250 0.7500  8 Zn 2.60

***

[7]
The following is a DFT calculation (GGA-PBE) of an optimized crystal structure of ZnRh2.

## Properties
Total DFT energy (no corrections) in eV/atom: -5.507
Calculated formation energy in eV/atom: -0.181

a b c (Å): 5.8594 5.8594 5.8594
angles (deg): 152.72 152.72 38.96
Last column: nearest neighbours and their distance in Å.
Positions (direct):
1 Zn 0.0000 0.0000 0.0000  8 Rh 2.68, 4 Zn 2.76
2 Rh 0.3335 0.3335 0.0000  4 Zn 2.68, 8 Rh 2.69-2.76
3 Rh 0.6665 0.6665 0.0000  4 Zn 2.68, 8 Rh 2.69-2.76

***

[8]
The following is a DFT calculation (GGA-PBE) of an optimized crystal structure of ZnRh.

## Properties
Total DFT energy (no corrections) in eV/atom: -3.375
Calculated formation energy in eV/atom: 0.938

a b c (Å): 6.8506 6.8506 6.8506
angles (deg): 90.00 90.00 90.00
Last column: nearest neighbours and their distance in Å.
Positions (direct):
1 Zn 0.0000 0.2500 0.5000  4 Rh 2.42
2 Zn 0.0000 0.7500 0.5000  4 Rh 2.42
3 Zn 0.2500 0.5000 0.0000  4 Rh 2.42
4 Zn 0.5000 0.0000 0.2500  4 Rh 2.42
5 Zn 0.5000 0.0000 0.7500  4 Rh 2.42
6 Zn 0.7500 0.5000 0.0000  4 Rh 2.42
7 Rh 0.0000 0.5000 0.2500  4 Zn 2.42
8 Rh 0.0000 0.5000 0.7500  4 Zn 2.42
9 Rh 0.2500 0.0000 0.5000  4 Zn 2.42
10 Rh 0.5000 0.2500 0.0000  4 Zn 2.42
11 Rh 0.5000 0.7500 0.0000  4 Zn 2.42
12 Rh 0.7500 0.0000 0.5000  4 Zn 2.42

***

[9]
The following is a DFT calculation (GGA-PBE) of an optimized crystal structure of Zn3Rh.

## Properties
Total DFT energy (no corrections) in eV/atom: -3.114
Calculated formation energy in eV/atom: -0.321

a b c (Å): 5.4197 5.4197 4.4039
angles (deg): 90.00 90.00 120.00
Last column: nearest neighbours and their distance in Å.
Positions (direct):
1 Zn 0.1688 0.3377 0.2500  8 Zn 2.67-2.75, 4 Rh 2.69-2.71
2 Zn 0.1688 0.8312 0.2500  8 Zn 2.67-2.75, 4 Rh 2.69-2.71
3 Zn 0.3377 0.1688 0.7500  8 Zn 2.67-2.75, 4 Rh 2.69-2.71
4 Zn 0.6623 0.8312 0.2500  8 Zn 2.67-2.75, 4 Rh 2.69-2.71
5 Zn 0.8312 0.1688 0.7500  8 Zn 2.67-2.75, 4 Rh 2.69-2.71
6 Zn 0.8312 0.6623 0.7500  8 Zn 2.67-2.75, 4 Rh 2.69-2.71
7 Rh 0.3333 0.6667 0.7500  12 Zn 2.69-2.71
8 Rh 0.6667 0.3333 0.2500  12 Zn 2.69-2.71

***

[10]
The following is a DFT calculation (GGA-PBE) of an optimized crystal structure of ZnRh.

## Properties
Total DFT energy (no corrections) in eV/atom: -4.187
Calculated formation energy in eV/atom: 0.126

a b c (Å): 3.5474 3.5474 3.5474
angles (deg): 60.00 60.00 60.00
Last column: nearest neighbours and their distance in Å.
Positions (direct):
1 Zn 0.0000 0.0000 0.0000  6 Rh 2.51
2 Rh 0.5000 0.5000 0.5000  6 Zn 2.51

***

[11]
The following is a DFT calculation (GGA-PBE) of an optimized crystal structure of ZnRh3.

## Properties
Total DFT energy (no corrections) in eV/atom: -5.969
Calculated formation energy in eV/atom: -0.137

a b c (Å): 4.7306 8.8189 5.4185
angles (deg): 90.00 90.00 90.00
Last column: nearest neighbours and their distance in Å.
Positions (direct):
1 Zn 0.0783 0.2500 0.1256  10 Rh 2.69-2.75, 2 Zn 2.72
2 Zn 0.4217 0.7500 0.6256  10 Rh 2.69-2.75, 2 Zn 2.72
3 Zn 0.5783 0.2500 0.3744  10 Rh 2.69-2.75, 2 Zn 2.72
4 Zn 0.9217 0.7500 0.8744  10 Rh 2.69-2.75, 2 Zn 2.72
5 Rh 0.0806 0.2500 0.6290  8 Rh 2.68-2.72, 4 Zn 2.69-2.75
6 Rh 0.2445 0.5012 0.3760  9 Rh 2.68-2.77, 3 Zn 2.71-2.72
7 Rh 0.2445 0.9988 0.3760  9 Rh 2.68-2.77, 3 Zn 2.71-2.72
8 Rh 0.2555 0.0012 0.8760  9 Rh 2.68-2.77, 3 Zn 2.71-2.72
9 Rh 0.2555 0.4988 0.8760  9 Rh 2.68-2.77, 3 Zn 2.71-2.72
10 Rh 0.4194 0.7500 0.1290  8 Rh 2.68-2.72, 4 Zn 2.69-2.75
11 Rh 0.5806 0.2500 0.8710  8 Rh 2.68-2.72, 4 Zn 2.69-2.75
12 Rh 0.7445 0.5012 0.1240  9 Rh 2.68-2.77, 3 Zn 2.71-2.72
13 Rh 0.7445 0.9988 0.1240  9 Rh 2.68-2.77, 3 Zn 2.71-2.72
14 Rh 0.7555 0.0012 0.6240  9 Rh 2.68-2.77, 3 Zn 2.71-2.72
15 Rh 0.7555 0.4988 0.6240  9 Rh 2.68-2.77, 3 Zn 2.71-2.72
16 Rh 0.9194 0.7500 0.3710  8 Rh 2.68-2.72, 4 Zn 2.69-2.75

***

[12]
The following is a DFT calculation (GGA-PBE) of an optimized crystal structure of ZnRh3.

## Properties
Total DFT energy (no corrections) in eV/atom: -5.750
Calculated formation energy in eV/atom: 0.082

a b c (Å): 4.8806 4.8806 4.8806
angles (deg): 90.00 90.00 90.00
Last column: nearest neighbours and their distance in Å.
Positions (direct):
1 Zn 0.0000 0.0000 0.0000  12 Rh 2.73
2 Zn 0.5000 0.5000 0.5000  12 Rh 2.73
3 Rh 0.0000 0.2500 0.5000  2 Rh 2.44, 4 Zn 2.73
4 Rh 0.0000 0.7500 0.5000  2 Rh 2.44, 4 Zn 2.73
5 Rh 0.2500 0.5000 0.0000  2 Rh 2.44, 4 Zn 2.73
6 Rh 0.5000 0.0000 0.2500  2 Rh 2.44, 4 Zn 2.73
7 Rh 0.5000 0.0000 0.7500  2 Rh 2.44, 4 Zn 2.73
8 Rh 0.7500 0.5000 0.0000  2 Rh 2.44, 4 Zn 2.73

***

no.,DOS(E_F) (states/eV per atom)
1,0.8451
2,1.1992
3,0.8527
4,0.9051
5,0.2423
6,0.4188
7,1.3611
8,1.9662
9,0.3636
10,1.1886
11,1.0852
12,1.4286